The following is a PBE calculation of a relaxed structure of LaPr5As6, from Alexandria.

Output
Formation energy = -1.5141 eV/atom
Calculated volume = 684 Å³/cell

a b c (Å): 7.4833 12.9594 7.4822
angles (deg): 90.00 109.47 90.00
Space group C2/m (No. 12)
One atom of each set of equivalent atoms:
La: 0.0000 0.0000 0.0000 x2
Pr: 0.0000 0.1666 0.5000 x4
Pr: 0.0000 0.3333 0.0000 x4
Pr: 0.0000 0.5000 0.5000 x2
As: 0.2492 0.3328 0.7493 x8
As: 0.2491 0.5000 0.2505 x4